1 | Compound: KAl11O17
Source: Alexandria via LeMat-Bulk
Functional: GGA-PBEsol
Structure: optimized geometry

The structure in extended XYZ format:
```
58
Lattice="5.612 0.000 0.000 -2.806 4.860 0.000 0.000 0.000 22.785" Properties=species:S:1:pos:R:3 pbc="T T T"
K 0.000 3.240 5.696
K 2.806 1.620 17.088
Al 0.000 0.000 0.000
Al 0.000 0.000 11.392
Al 0.000 1.626 2.411
Al 0.000 1.626 8.982
Al -1.398 4.047 2.411
Al -1.398 4.047 8.982
Al 0.000 3.240 11.961
Al 0.000 3.240 15.383
Al 0.000 3.240 18.794
Al 0.000 3.240 22.216
Al 1.408 0.813 13.803
Al 1.408 0.813 20.374
Al 1.398 4.047 2.411
Al 1.398 4.047 8.982
Al 2.806 1.620 0.569
Al 2.806 1.620 3.991
Al 2.806 1.620 7.401
Al 2.806 1.620 10.823
Al 4.204 0.813 13.803
Al 4.204 0.813 20.374
Al 2.806 3.234 13.803
Al 2.806 3.234 20.374
O 0.000 0.000 3.207
O 0.000 0.000 8.185
O 0.000 0.000 14.600
O 0.000 0.000 19.577
O -1.382 2.442 3.295
O -1.382 2.442 8.097
O 0.000 1.524 12.519
O 0.000 1.524 21.657
O -1.486 4.098 12.519
O -1.486 4.098 21.657
O 1.320 0.762 1.127
O 1.320 0.762 10.265
O 0.000 3.240 1.252
O 0.000 3.240 10.141
O 0.000 3.240 17.088
O 1.382 2.442 3.295
O 1.382 2.442 8.097
O 0.000 4.836 3.295
O 0.000 4.836 8.097
O 2.806 0.024 14.688
O 2.806 0.024 19.489
O 1.424 2.418 14.688
O 1.424 2.418 19.489
O 2.806 1.620 5.696
O 2.806 1.620 12.644
O 2.806 1.620 21.533
O 1.486 4.098 12.519
O 1.486 4.098 21.657
O 4.293 0.762 1.127
O 4.293 0.762 10.265
O 2.806 3.336 1.127
O 2.806 3.336 10.265
O 4.188 2.418 14.688
O 4.188 2.418 19.489
```

Summary:
density of states at the Fermi level = 0.00 states/eV/f.u.
crystal system = hexagonal
SG = P6_3/mmc (194)
volume = 621.5 Å³/cell


2 | Compound: KAl11O17
Source: Alexandria via LeMat-Bulk
Functional: GGA-PBEsol
Structure: optimized geometry

The structure in extended XYZ format:
```
29
Lattice="2.806 1.620 11.418 -2.806 1.620 11.418 0.000 -3.240 11.418" Properties=species:S:1:pos:R:3 pbc="T T T"
K 0.000 0.000 0.000
Al 0.000 -1.625 8.253
Al -1.407 0.813 8.253
Al 0.000 0.000 5.847
Al 0.000 -1.605 14.856
Al -1.390 0.802 14.856
Al 0.000 0.000 17.838
Al 1.407 0.813 8.253
Al 0.000 0.000 21.266
Al 0.000 0.000 24.692
Al 1.390 0.802 14.856
Al 0.000 0.000 28.100
O 0.000 0.000 2.634
O -1.394 -0.805 13.990
O -1.423 -0.822 20.562
O 0.000 0.000 9.057
O 0.000 -1.717 18.397
O -1.487 0.858 18.397
O -1.491 -0.861 27.558
O 0.000 0.000 16.021
O 1.394 -0.805 13.990
O 0.000 1.609 13.990
O 0.000 0.000 22.977
O 1.423 -0.822 20.562
O 0.000 1.644 20.562
O 0.000 0.000 29.930
O 1.487 0.858 18.397
O 1.491 -0.861 27.558
O 0.000 1.722 27.558
```

Summary:
density of states at the Fermi level = 0.00 states/eV/f.u.
crystal system = trigonal
SG = R3m (160)
volume = 311.4 Å³/cell


Computed stability ranking, most favorable first: 1, 2


1 | Compound: KAl2Os
Source: Alexandria via LeMat-Bulk
Functional: GGA-PBEsol
Structure: optimized geometry

The structure in extended XYZ format:
```
4
Lattice="1.500 0.866 9.779 -1.500 0.866 9.779 0.000 -1.732 9.779" Properties=species:S:1:pos:R:3 pbc="T T T"
K 0.000 0.000 0.000
Al 0.000 0.000 6.769
Al 0.000 0.000 22.569
Os 0.000 0.000 14.669
```

Summary:
density of states at the Fermi level = 1.67 states/eV/f.u.
crystal system = trigonal
SG = R-3m (166)
volume = 76.2 Å³/cell


2 | Compound: KAl2Os
Source: Alexandria via LeMat-Bulk
Functional: GGA-PBEsol
Structure: optimized geometry

The structure in extended XYZ format:
```
4
Lattice="2.896 0.000 0.000 0.000 4.101 0.000 -0.019 0.000 7.780" Properties=species:S:1:pos:R:3 pbc="T T T"
K 0.000 0.000 0.000
Al 1.441 0.000 3.067
Al 1.440 2.051 5.138
Os 2.888 2.051 3.081
```

Summary:
density of states at the Fermi level = 2.27 states/eV/f.u.
crystal system = monoclinic
SG = Pm (6)
volume = 92.4 Å³/cell


Computed stability ranking, most favorable first: 2, 1


1 | Compound: KAl2Os
Source: Alexandria via LeMat-Bulk
Functional: GGA-PBEsol
Structure: optimized geometry

The structure in extended XYZ format:
```
4
Lattice="2.706 0.000 0.000 0.000 4.937 0.000 0.000 0.000 5.522" Properties=species:S:1:pos:R:3 pbc="T T T"
K 0.000 0.000 0.000
Al 0.000 2.468 2.761
Al 1.353 2.468 0.000
Os 1.353 0.000 2.761
```

Summary:
density of states at the Fermi level = 2.09 states/eV/f.u.
crystal system = orthorhombic
SG = Pmmm (47)
volume = 73.8 Å³/cell


2 | Compound: KAl2Os
Source: Alexandria via LeMat-Bulk
Functional: GGA-PBEsol
Structure: optimized geometry

The structure in extended XYZ format:
```
4
Lattice="1.551 -2.347 0.000 1.551 2.347 0.000 0.000 0.000 9.908" Properties=species:S:1:pos:R:3 pbc="T T T"
K 0.000 0.000 0.000
Al 0.000 0.000 4.631
Al 1.551 0.000 6.906
Os 1.551 0.000 2.725
```

Summary:
density of states at the Fermi level = 2.67 states/eV/f.u.
crystal system = orthorhombic
SG = Cmm2 (35)
volume = 72.1 Å³/cell


Computed stability ranking, most favorable first: 2, 1


1 | Compound: KRb3Al
Source: Alexandria via LeMat-Bulk
Functional: GGA-PBEsol
Structure: optimized geometry

The structure in extended XYZ format:
```
5
Lattice="7.087 0.000 0.000 0.000 7.087 0.000 0.000 0.000 7.087" Properties=species:S:1:pos:R:3 pbc="T T T"
K 0.000 0.000 0.000
Rb 0.000 3.543 3.543
Rb 3.543 0.000 3.543
Rb 3.543 3.543 0.000
Al 3.543 3.543 3.543
```

Summary:
density of states at the Fermi level = 4.71 states/eV/f.u.
crystal system = cubic
SG = Pm-3m (221)
volume = 355.9 Å³/cell


2 | Compound: KRb3Al
Source: Alexandria via LeMat-Bulk
Functional: GGA-PBEsol
Structure: optimized geometry

The structure in extended XYZ format:
```
5
Lattice="7.391 0.000 0.000 0.000 7.391 0.000 0.000 0.000 7.391" Properties=species:S:1:pos:R:3 pbc="T T T"
K 0.000 0.000 0.000
Rb 0.000 0.000 3.695
Rb 0.000 3.695 0.000
Rb 3.695 0.000 0.000
Al 3.695 3.695 3.695
```

Summary:
density of states at the Fermi level = 5.66 states/eV/f.u.
crystal system = cubic
SG = Pm-3m (221)
volume = 403.7 Å³/cell


Computed stability ranking, most favorable first: 1, 2


1 | Compound: KAl2Ru
Source: Alexandria via LeMat-Bulk
Functional: GGA-PBEsol
Structure: optimized geometry

The structure in extended XYZ format:
```
4
Lattice="-2.196 2.196 3.623 2.196 -2.196 3.623 2.196 2.196 -3.623" Properties=species:S:1:pos:R:3 pbc="T T T"
K 0.000 0.000 0.000
Al 2.196 0.000 1.811
Al 0.000 2.196 1.811
Ru 0.000 0.000 3.623
```

Summary:
density of states at the Fermi level = 1.96 states/eV/f.u.
crystal system = tetragonal
SG = I4/mmm (139)
volume = 69.9 Å³/cell


2 | Compound: KAl2Ru
Source: Alexandria via LeMat-Bulk
Functional: GGA-PBEsol
Structure: optimized geometry

The structure in extended XYZ format:
```
4
Lattice="0.000 3.286 3.286 3.286 0.000 3.286 3.286 3.286 0.000" Properties=species:S:1:pos:R:3 pbc="T T T"
K 0.000 0.000 0.000
Al 3.286 3.286 3.286
Al 4.929 4.929 4.929
Ru 1.643 1.643 1.643
```

Summary:
density of states at the Fermi level = 4.10 states/eV/f.u.
crystal system = cubic
SG = F-43m (216)
volume = 70.9 Å³/cell


3 | Compound: KAl2Ru
Source: Alexandria via LeMat-Bulk
Functional: GGA-PBEsol
Structure: optimized geometry

The structure in extended XYZ format:
```
4
Lattice="3.306 0.000 0.000 0.000 3.306 0.000 0.000 0.000 7.858" Properties=species:S:1:pos:R:3 pbc="T T T"
K 0.000 0.000 0.000
Al 0.000 0.000 3.341
Al 1.653 1.653 5.086
Ru 1.653 1.653 2.640
```

Summary:
density of states at the Fermi level = 1.72 states/eV/f.u.
crystal system = tetragonal
SG = P4mm (99)
volume = 85.9 Å³/cell


4 | Compound: KAl2Ru
Source: Alexandria via LeMat-Bulk
Functional: GGA-PBEsol
Structure: optimized geometry

The structure in extended XYZ format:
```
4
Lattice="2.123 1.226 6.198 -2.123 1.226 6.198 0.000 -2.451 6.198" Properties=species:S:1:pos:R:3 pbc="T T T"
K 0.000 0.000 0.000
Al 0.000 0.000 3.598
Al 0.000 0.000 14.995
Ru 0.000 0.000 9.297
```

Summary:
density of states at the Fermi level = 2.77 states/eV/f.u.
crystal system = trigonal
SG = R-3m (166)
volume = 96.7 Å³/cell


Computed stability ranking, most favorable first: 4, 3, 1, 2


1 | Compound: K2AlSb
Source: Alexandria via LeMat-Bulk
Functional: GGA-PBEsol
Structure: optimized geometry

The structure in extended XYZ format:
```
4
Lattice="5.536 0.000 0.000 0.000 5.536 0.000 0.000 0.000 4.213" Properties=species:S:1:pos:R:3 pbc="T T T"
K 0.000 2.768 0.000
K 2.768 0.000 0.000
Al 0.000 0.000 2.106
Sb 2.768 2.768 2.106
```

Summary:
density of states at the Fermi level = 1.69 states/eV/f.u.
crystal system = tetragonal
SG = P4/mmm (123)
volume = 129.1 Å³/cell


2 | Compound: K2AlSb
Source: Alexandria via LeMat-Bulk
Functional: GGA-PBEsol
Structure: optimized geometry

The structure in extended XYZ format:
```
4
Lattice="3.287 0.000 0.000 0.000 3.287 0.000 0.000 0.000 11.088" Properties=species:S:1:pos:R:3 pbc="T T T"
K 0.000 0.000 2.663
K 0.000 0.000 8.425
Al 1.643 1.643 5.544
Sb 1.643 1.643 0.000
```

Summary:
density of states at the Fermi level = 1.99 states/eV/f.u.
crystal system = tetragonal
SG = P4/mmm (123)
volume = 119.8 Å³/cell


Computed stability ranking, most favorable first: 2, 1